Entry 1:
Here is crystalline Mn2CrH at its relaxed geometry from Alexandria via LeMat-Bulk. Energies are from GGA-PBE.

abc: 6.086 6.086 4.733
angles: 49.99 49.99 90.00
Fractional positions:
Cr1 0.000 0.000 0.000
Cr2 0.750 0.250 0.500
Mn1 0.520 0.125 0.250
Mn2 0.230 0.625 0.250
Mn3 0.375 0.480 0.750
Mn4 0.875 0.770 0.750
H1 0.500 0.500 0.000
H2 0.250 0.750 0.500

**D(E_F)**: 8.93 states/eV per cell
**Total energy**: -7.588 eV per atom
**SG**: I-42d
**ΔE to the lowest computed polymorph**: 190 meV/atom


Entry 2:
Here is crystalline Pa2Ga4Pd3Au at its relaxed geometry from Alexandria via LeMat-Bulk. Energies are from GGA-PBE.

abc: 4.226 4.226 10.536
angles: 90.00 90.00 90.00
Fractional positions:
Pa1 0.500 0.000 0.245
Pa2 0.000 0.500 0.755
Ga1 0.500 0.500 0.000
Ga2 0.000 0.000 0.000
Ga3 0.500 0.000 0.637
Ga4 0.000 0.500 0.363
Pd1 0.000 0.000 0.500
Pd2 0.500 0.000 0.867
Pd3 0.000 0.500 0.133
Au1 0.500 0.500 0.500

**D(E_F)**: 8.61 states/eV per cell
**Total energy**: -5.524 eV per atom
**SG**: P-4m2


Q: Number 2 is which compound?
A: Pa2Ga4Pd3Au